Here is a relaxed Tc2Ir2Os crystal from Alexandria. Energies are from PBE-GGA.

Unit cell a=3.700 b=3.700 c=6.482 alpha=73.42 beta=73.42 gamma=90.00
Last column: magnetic moment on the atom in μB.
Positions (direct):
Tc1 0.597 0.597 0.806  0.02
Tc2 0.403 0.403 0.194  0.02
Ir1 0.750 0.250 0.500  0.04
Ir2 0.250 0.750 0.500  0.04
Os1 0.000 0.000 0.000  0.83

Summary:
- Volume: 81.2 Å³/cell
- Electronic total energy: -9.2532 eV/atom
- Crystal system: tetragonal
- Relative energy among the computed polymorphs: 772 meV per atom
- Space-group type: I4/mmm (139)
- Density: 15.76 g cm⁻³
- Formation energy: 0.684 eV per atom